# SCAN CaMnNO2, PBEsol geometry
# Formation energy from raw total energies (eV per atom): -1.741
# M_tot (μB/f.u.): 2.0
# Fermi-level density of states (states/eV/atom): 0.215
# Calculated volume (A^3/atom): 10.4
data_CaMnNO2
_cell_length_a 3.831
_cell_length_b 3.831
_cell_length_c 3.527
_cell_angle_alpha 90.00
_cell_angle_beta 90.00
_cell_angle_gamma 90.00
_space_group_name_H-M_alt 'P 4/m m m'
_space_group_IT_number 123
_space_group_name_Hall '-P 4 2'
loop_
_atom_site_label
_atom_site_type_symbol
_atom_site_fract_x
_atom_site_fract_y
_atom_site_fract_z
_atom_site_occupancy
Ca1 Ca 0.000 0.000 0.000 1
Mn1 Mn 0.500 0.500 0.500 1
N1 N 0.500 0.500 0.000 1
O1 O 0.000 0.500 0.500 1

# SCAN CaMnTeN2, PBEsol geometry
# Formation energy from raw total energies (eV per atom): 1.013
# M_tot (μB/f.u.): 9.2
# Fermi-level density of states (states/eV/atom): 0.379
# Calculated volume (A^3/atom): 23.5
data_CaMnTeN2
_cell_length_a 4.366
_cell_length_b 4.366
_cell_length_c 6.162
_cell_angle_alpha 90.00
_cell_angle_beta 90.00
_cell_angle_gamma 90.00
_space_group_name_H-M_alt 'P 4/m m m'
_space_group_IT_number 123
_space_group_name_Hall '-P 4 2'
loop_
_atom_site_label
_atom_site_type_symbol
_atom_site_fract_x
_atom_site_fract_y
_atom_site_fract_z
_atom_site_occupancy
Ca1 Ca 0.000 0.000 0.000 1
Mn1 Mn 0.500 0.500 0.500 1
Te1 Te 0.000 0.000 0.500 1
N1 N 0.000 0.500 0.000 1

# SCAN NaCaMn2Tc, PBEsol geometry
# M_tot (μB/f.u.): 7.3
# Fermi-level density of states (states/eV/atom): 0.691
# Formation energy (kJ/mol of formula units): 286
# Calculated volume (A^3/atom): 23.4
data_NaCaMn2Tc
_cell_length_a 4.645
_cell_length_b 4.645
_cell_length_c 5.424
_cell_angle_alpha 90.00
_cell_angle_beta 90.00
_cell_angle_gamma 90.00
_space_group_name_H-M_alt 'P 4/m m m'
_space_group_IT_number 123
_space_group_name_Hall '-P 4 2'
loop_
_atom_site_label
_atom_site_type_symbol
_atom_site_fract_x
_atom_site_fract_y
_atom_site_fract_z
_atom_site_occupancy
Na1 Na 0.000 0.000 0.000 1
Ca1 Ca 0.500 0.500 0.000 1
Mn1 Mn 0.000 0.500 0.500 1
Tc1 Tc 0.500 0.500 0.500 1

# SCAN Ca2ScMnNb, PBEsol geometry
# M_tot (μB/f.u.): 6.0
# Fermi-level density of states (states/eV/atom): 0.802
# Formation energy (kJ/mol of formula units): 462
# Calculated volume (A^3/atom): 29.6
data_Ca2ScMnNb
_cell_length_a 5.512
_cell_length_b 5.512
_cell_length_c 4.874
_cell_angle_alpha 90.00
_cell_angle_beta 90.00
_cell_angle_gamma 90.00
_space_group_name_H-M_alt 'P 4/m m m'
_space_group_IT_number 123
_space_group_name_Hall '-P 4 2'
loop_
_atom_site_label
_atom_site_type_symbol
_atom_site_fract_x
_atom_site_fract_y
_atom_site_fract_z
_atom_site_occupancy
Ca1 Ca 0.000 0.500 0.000 1
Sc1 Sc 0.000 0.000 0.500 1
Mn1 Mn 0.500 0.500 0.500 1
Nb1 Nb 0.000 0.000 0.000 1